A geometry-optimized Na2ScSeO6 structure, computed with PBE-GGA.

a b c (Å): 5.896 5.896 5.395
angles (deg): 90.00 90.00 120.00
Atoms (fractional coordinates):
Na  0.333  0.667  0.029
Na  0.667  0.333  0.971
Sc  0.000  0.000  0.500
Se  0.000  0.000  0.000
O  0.142  0.283  0.795
O  0.142  0.858  0.795
O  0.283  0.142  0.205
O  0.717  0.858  0.795
O  0.858  0.142  0.205
O  0.858  0.717  0.205

Computed properties:
Formation energy from raw total energies = -1.489 eV per atom
Space group = No. 164

A geometry-optimized NiHgIr2 structure, computed with PBE-GGA.

a b c (Å): 4.431 4.431 4.431
angles (deg): 60.00 60.00 60.00
Atoms (fractional coordinates):
Ni  0.000  0.000  0.000
Hg  0.750  0.750  0.750
Ir  0.250  0.250  0.250
Ir  0.500  0.500  0.500

Computed properties:
Space group = No. 216
Energy of formation = 0.55 eV per atom